A plane-wave DFT calculation with PBE was carried out for a relaxed AlZn6Cu2 crystal.

Values from the calculation:
Density ... 6.86 Mg/m³
Energy of formation from the pure elements ... -0.032 eV/atom

abc: 6.2102 6.2102 9.1333
angles: 114.49 114.49 24.50
Closest atoms and distances in Å follow each position.
Fractional coordinates of all 9 atoms:
1 Al 0.0000 0.0000 0.0000  4 Cu 2.51, 2 Al 2.63
2 Zn 0.0235 0.0235 0.6797  2 Cu 2.63, 8 Zn 2.63-2.83
3 Zn 0.2687 0.2687 0.1312  7 Zn 2.60-2.72, 2 Cu 2.64
4 Zn 0.3302 0.3302 0.4480  9 Zn 2.63-2.83, 3 Cu 2.64-2.67
5 Zn 0.6698 0.6698 0.5520  9 Zn 2.63-2.83, 3 Cu 2.64-2.67
6 Zn 0.7313 0.7313 0.8688  7 Zn 2.60-2.72, 2 Cu 2.64
7 Zn 0.9765 0.9765 0.3203  2 Cu 2.63, 8 Zn 2.63-2.83
8 Cu 0.3670 0.3670 0.7546  2 Al 2.51, 7 Zn 2.63-2.67, 2 Cu 2.63
9 Cu 0.6330 0.6330 0.2454  2 Al 2.51, 7 Zn 2.63-2.67, 2 Cu 2.63